The following is a GGA-PBE calculation of an optimized crystal structure of Sm8Ho6Pb, from Alexandria.

The structure in POSCAR format:
```
Sm8Ho6Pb
1.0
9.3332 0.0000 0.0000
-4.6666 8.0828 0.0000
0.0000 0.0000 6.5138
Sm Ho Pb
8 6 1
Cartesian
-3.2086 6.2138 1.1632
0.8896 2.1972 1.1632
2.3476 0.3282 5.3506
0.0000 5.3886 1.0128
4.6666 2.6943 5.5010
2.3190 7.7546 1.1632
3.7771 5.8856 5.3506
7.8752 1.8690 5.3506
-2.1167 5.2387 4.3470
1.1881 3.6303 4.3470
3.7380 0.7862 2.1668
0.9286 7.2966 4.3470
3.4785 4.4525 2.1668
6.7834 2.8441 2.1668
0.0000 0.0000 3.2569
```

Summary:
energy	-67.8	eV for the cell shown
energy of formation	0.0748	eV per atom
total magnetic moment	0.0006	μB per atom
space-group type	P-3 (147)
theoretical density	8.11	Mg/m³
calculated volume	32.760	Å³/atom